1.
Entry from Alexandria via LeMat-Bulk: an optimized crystal structure of TbGaAu (GGA-PBE).

Cell lengths 3.443, 3.443, 5.886 Å; angles 107.00, 107.00, 90.00 degrees
Last column: magnetic moment on the atom in μB.
Sites, in units of the cell vectors:
Tb  0.614  0.614  0.228  0.06
Ga  0.300  0.300  0.600  0.00
Au  0.936  0.936  0.872  0.00

Properties
- E_tot (eV/cell) = -12.60
- size of the total moment (Bohr magnetons per cell) = 0.077
- ΔE_f (kJ/mol of atoms) = -53.6
- symmetry = I4mm, No. 107

2.
Entry from Alexandria via LeMat-Bulk: an optimized crystal structure of TbGa3Au3 (GGA-PBE).

Cell lengths 8.104, 8.104, 7.208 Å; angles 55.80, 55.80, 60.00 degrees
Sites, in units of the cell vectors:
Ga  0.606  0.220  0.261
Ga  0.220  0.913  0.261
Ga  0.087  0.394  0.739
Ga  0.394  0.780  0.739
Ga  0.780  0.087  0.739
Ga  0.913  0.606  0.261
Au  0.745  0.433  0.733
Au  0.433  0.089  0.733
Au  0.255  0.567  0.267
Au  0.567  0.911  0.267
Au  0.089  0.745  0.733
Au  0.911  0.255  0.267
Tb  0.335  0.335  0.996
Tb  0.665  0.665  0.004

Properties
- E_tot (eV/cell) = -52.58
- relative energy among the computed polymorphs (meV per atom) = 49.6
- size of the total moment (Bohr magnetons per cell) = 0.000
- ΔE_f (kJ/mol of atoms) = -37.9
- symmetry = R-3, No. 148

What did the second record say?
Entry from Alexandria via LeMat-Bulk: an optimized crystal structure of TbGa3Au3 (GGA-PBE).

Cell lengths 8.104, 8.104, 7.208 Å; angles 55.80, 55.80, 60.00 degrees
Sites, in units of the cell vectors:
Ga  0.606  0.220  0.261
Ga  0.220  0.913  0.261
Ga  0.087  0.394  0.739
Ga  0.394  0.780  0.739
Ga  0.780  0.087  0.739
Ga  0.913  0.606  0.261
Au  0.745  0.433  0.733
Au  0.433  0.089  0.733
Au  0.255  0.567  0.267
Au  0.567  0.911  0.267
Au  0.089  0.745  0.733
Au  0.911  0.255  0.267
Tb  0.335  0.335  0.996
Tb  0.665  0.665  0.004

Properties
- E_tot (eV/cell) = -52.58
- relative energy among the computed polymorphs (meV per atom) = 49.6
- size of the total moment (Bohr magnetons per cell) = 0.000
- ΔE_f (kJ/mol of atoms) = -37.9
- symmetry = R-3, No. 148